First-principles (GGA-PBE) data for a relaxed structure of SmDy4Tm2Sc, as listed in the Alexandria database.

formation energy: 3.58 eV/f.u.
density of states at the Fermi level: 69.79 states/eV/cell
uncorrected energy: -139.3 eV per cell

Lattice parameters (Å, degrees): 13.381 13.082 6.704 90.00 120.06 90.00
Space group C2/c (No. 15)
Unique sites:
1 Sm 0.000 0.000 0.000 x4
2 Dy 0.000 0.253 0.005 x8
3 Dy 0.248 0.493 0.499 x8
4 Tm 0.000 0.500 0.000 x4
5 Tm 0.250 0.250 0.000 x4
6 Sc 0.250 0.250 0.500 x4